Computed, not measured: an optimized crystal structure of AcZnCu at the PBE-GGA level of DFT.

Computed properties:
Total moment in μB per cell: 0.00
Volume in Å³ per cell: 78
Space group: No. 216
Energy above the lowest structure with this stoichiometry in eV per formula unit: 0.00
ΔH_f (0 K) in meV per atom: -66

Cell: 4.796 4.796 4.796 Å, 60.00 60.00 60.00°
Atoms (fractional coordinates):
Zn  0.000  0.000  0.000
Cu  0.250  0.250  0.250
Ac  0.500  0.500  0.500